No. 1
A plane-wave DFT calculation with PBE-GGA was carried out for a geometry-optimized La3HfTl3S8 structure.

Structure (CIF):
```
data_La3HfTl3S8
_cell_length_a 8.3057
_cell_length_b 8.3057
_cell_length_c 22.5676
_cell_angle_alpha 90.00
_cell_angle_beta 90.00
_cell_angle_gamma 120.00
_space_group_name_H-M_alt 'R -3 m'
_space_group_IT_number 166
_space_group_name_Hall '-R 3 2"'
loop_
_atom_site_label
_atom_site_type_symbol
_atom_site_fract_x
_atom_site_fract_y
_atom_site_fract_z
La1 La 0.0000 0.5000 0.0000
Hf1 Hf 0.0000 0.0000 0.0000
Tl1 Tl 0.0000 0.5000 0.5000
S1 S 0.0000 0.0000 0.2645
S2 S 0.0329 0.5164 0.7304
```

E_tot (eV per atom): -5.8565
N(E_F) (states/eV per cell): 0.0

***

No. 2
A plane-wave DFT calculation with PBE-GGA was carried out for a geometry-optimized La3HfTl4S8 structure.

Structure (CIF):
```
data_La3HfTl4S8
_cell_length_a 14.311
_cell_length_b 8.263
_cell_length_c 8.974
_cell_angle_alpha 90.00
_cell_angle_beta 122.17
_cell_angle_gamma 90.00
_space_group_name_H-M_alt 'C 1 2/m 1'
_space_group_IT_number 12
loop_
_space_group_symop_operation_xyz
'x,y,z'
'-x,-y,-z'
'-x,y,-z'
'x,-y,z'
'x+1/2,y+1/2,z'
'-x+1/2,-y+1/2,-z'
'-x+1/2,y+1/2,-z'
'x+1/2,-y+1/2,z'
loop_
_atom_site_label
_atom_site_type_symbol
_atom_site_fract_x
_atom_site_fract_y
_atom_site_fract_z
La1 La 0.000 0.000 0.000
La2 La 0.250 0.250 0.000
Hf1 Hf 0.000 0.500 0.000
Tl1 Tl 0.000 0.000 0.500
Tl2 Tl 0.000 0.500 0.500
Tl3 Tl 0.250 0.250 0.500
S1 S 0.010 0.275 0.807
S2 S 0.214 0.500 0.193
S3 S 0.236 0.000 0.209
```

E_tot (eV per atom): -5.5853
N(E_F) (states/eV per cell): 10.7

***

No. 3
A plane-wave DFT calculation with PBE-GGA was carried out for a geometry-optimized LaHf3Sb structure.

Structure (CIF):
```
data_LaHf3Sb
_cell_length_a 5.343
_cell_length_b 5.343
_cell_length_c 5.343
_cell_angle_alpha 90.00
_cell_angle_beta 90.00
_cell_angle_gamma 90.00
_space_group_name_H-M_alt 'P m -3 m'
_space_group_IT_number 221
_space_group_name_Hall '-P 4 2 3'
loop_
_atom_site_label
_atom_site_type_symbol
_atom_site_fract_x
_atom_site_fract_y
_atom_site_fract_z
La1 La 0.000 0.000 0.000
Hf1 Hf 0.000 0.500 0.500
Sb1 Sb 0.500 0.500 0.500
```

E_tot (eV per atom): -7.1851
Energy above the lowest structure with this stoichiometry (meV per atom): 0
N(E_F) (states/eV per cell): 4.1

***

| no. | uncorrected formation energy (eV per formula unit) |
| --- | --- |
| 1 | -23.0 |
| 2 | -22.1 |
| 3 | 3.0 |